# HfPaCd (GGA-PBE, relaxed)
data_HfPaCd
_chemical_formula_sum 'Hf4 Pa4 Cd4'
_cell_length_a 7.0187
_cell_length_b 7.0187
_cell_length_c 7.0187
_cell_angle_alpha 90.00
_cell_angle_beta 90.00
_cell_angle_gamma 90.00
_space_group_name_H-M_alt 'F -4 3 m'
_space_group_IT_number 216
_space_group_name_Hall 'F -4 2 3'
loop_
_atom_site_label
_atom_site_type_symbol
_atom_site_fract_x
_atom_site_fract_y
_atom_site_fract_z
_atom_site_occupancy
Hf1 Hf 0.0000 0.0000 0.0000 1
Pa1 Pa 0.2500 0.2500 0.7500 1
Cd1 Cd 0.0000 0.0000 0.5000 1
# DFT total energy = -5.6177 eV/atom
# Energy of formation from the pure elements = 1164.4 meV/atom
# Energy above the lowest structure with this stoichiometry = 255 meV/atom
# Calculated density = 10.03 g cm⁻³
# Magnetic moment = 0.81 μB/atom

***

# TcNiGeW (GGA-PBE, relaxed)
data_TcNiGeW
_chemical_formula_sum 'Tc4 Ni4 Ge4 W4'
_cell_length_a 6.0901
_cell_length_b 6.0901
_cell_length_c 6.0901
_cell_angle_alpha 90.00
_cell_angle_beta 90.00
_cell_angle_gamma 90.00
_space_group_name_H-M_alt 'F -4 3 m'
_space_group_IT_number 216
_space_group_name_Hall 'F -4 2 3'
loop_
_atom_site_label
_atom_site_type_symbol
_atom_site_fract_x
_atom_site_fract_y
_atom_site_fract_z
_atom_site_occupancy
Tc1 Tc 0.0000 0.0000 0.0000 1
Ni1 Ni 0.0000 0.0000 0.5000 1
Ge1 Ge 0.2500 0.2500 0.2500 1
W1 W 0.2500 0.2500 0.7500 1
# DFT total energy = -8.2491 eV/atom
# Calculated density = 12.15 g cm⁻³
# Magnetic moment = 0.20 μB/atom

***

# SbPt15 (GGA-PBE, relaxed)
data_SbPt15
_chemical_formula_sum 'Sb2 Pt30'
_cell_length_a 4.7987
_cell_length_b 34.6301
_cell_length_c 4.7983
_cell_angle_alpha 90.00
_cell_angle_beta 109.36
_cell_angle_gamma 90.00
_space_group_name_H-M_alt 'P 1 2/c 1'
_space_group_IT_number 13
_space_group_name_Hall '-P 2yc'
loop_
_atom_site_label
_atom_site_type_symbol
_atom_site_fract_x
_atom_site_fract_y
_atom_site_fract_z
_atom_site_occupancy
Sb1 Sb 0.0000 0.1868 0.2500 1
Pt1 Pt 0.0000 0.2284 0.7500 1
Pt2 Pt 0.0000 0.2727 0.2500 1
Pt3 Pt 0.0000 0.3140 0.7500 1
Pt4 Pt 0.0000 0.3555 0.2500 1
Pt5 Pt 0.0000 0.3969 0.7500 1
Pt6 Pt 0.0000 0.4382 0.2500 1
Pt7 Pt 0.0000 0.4794 0.7500 1
Pt8 Pt 0.5000 0.1914 0.7500 1
Pt9 Pt 0.5000 0.2284 0.2500 1
Pt10 Pt 0.5000 0.2725 0.7500 1
Pt11 Pt 0.5000 0.3139 0.2500 1
Pt12 Pt 0.5000 0.3556 0.7500 1
Pt13 Pt 0.5000 0.3969 0.2500 1
Pt14 Pt 0.5000 0.4381 0.7500 1
Pt15 Pt 0.5000 0.4794 0.2500 1
# DFT total energy = -5.9177 eV/atom
# Energy above the lowest structure with this stoichiometry = 15 meV/atom
# Calculated density = 13.46 g cm⁻³
# Magnetic moment = 0.00 μB/atom